BaTlHg2W | PBE | relaxed

a b c (Å): 5.4333 5.6564 5.4333
angles (deg): 90.00 90.00 90.00
Last column: nearest neighbours and their distance in Å.
Fractional coordinates of all 5 atoms:
W 0.0000 0.0000 0.0000  4 Hg 2.72, 2 Ba 2.83
Hg 0.0000 0.0000 0.5000  2 W 2.72
Hg 0.5000 0.0000 0.0000  2 W 2.72
Ba 0.0000 0.5000 0.0000  2 W 2.83
Tl 0.5000 0.5000 0.5000  4 Ba 3.84, 8 Hg 3.92

## Properties
Calculated density, g/cm3: 9.22
Crystal system: tetragonal
M_tot, μB/f.u.: 0.00
Formation enthalpy at 0 K, meV per atom: 762
Space-group type: P4/mmm
E_tot, eV for the cell shown: -14.04